No. 1
Below is an optimized crystal structure of Tl2IrCl, with properties calculated at the GGA-PBE level.

Results
formation energy (no corrections)	0.62	eV per formula unit
final energy	-3.70	eV/atom
energy above the lowest structure with this stoichiometry	74	meV per atom
symmetry	C2/m (12)

Cell: 7.6772 5.2647 3.1576 Å, 84.43 73.85 130.22°
With the nearest neighbours (Å) after each atom.
Sites, in units of the cell vectors:
Tl (0.0000, 0.0000, 0.0000)  4 Cl 2.94-3.20, 4 Ir 2.94-3.20, 2 Tl 3.16
Tl (0.5000, 0.0000, 0.5000)  4 Ir 2.94-3.20, 4 Cl 2.94-3.20, 2 Tl 3.16
Ir (0.5000, 0.5000, 0.0000)  8 Tl 2.94-3.20, 2 Ir 3.16
Cl (0.0000, 0.5000, 0.5000)  8 Tl 2.94-3.20, 2 Cl 3.16



No. 2
Below is an optimized crystal structure of PmSmY2S6, with properties calculated at the GGA-PBE level.

Results
formation energy (no corrections)	-20.47	eV per formula unit
final energy	-6.76	eV/atom
symmetry	R3 (146)

Cell: 7.0219 7.0219 7.4189 Å, 61.75 61.75 60.00°
With the nearest neighbours (Å) after each atom.
Sites, in units of the cell vectors:
Pm (0.8117, 0.8118, 0.5648)  6 S 2.79-2.88
Sm (0.3127, 0.3127, 0.0619)  6 S 2.78-2.86
Y (0.5165, 0.5164, 0.4507)  6 S 2.72-2.79
Y (0.0158, 0.0159, 0.9525)  6 S 2.72-2.79
S (0.6244, 0.2224, 0.2476)  2 Y 2.72-2.79, 1 Sm 2.78, 1 Pm 2.88
S (0.2224, 0.9056, 0.2475)  2 Y 2.72-2.79, 1 Sm 2.78, 1 Pm 2.88
S (0.9056, 0.6245, 0.2476)  2 Y 2.72-2.79, 1 Sm 2.78, 1 Pm 2.88
S (0.4029, 0.7224, 0.7475)  2 Y 2.72-2.79, 1 Pm 2.79, 1 Sm 2.86
S (0.7224, 0.1271, 0.7476)  2 Y 2.72-2.79, 1 Pm 2.79, 1 Sm 2.86
S (0.1272, 0.4029, 0.7476)  2 Y 2.72-2.79, 1 Pm 2.79, 1 Sm 2.86



No. 3
Below is an optimized crystal structure of Ce2NdDy6Er3, with properties calculated at the GGA-PBE level.

Results
energy relative to the elements	0.051	eV/atom
final energy	-4.78	eV/atom
symmetry	C2/m (12)

Cell: 6.1293 6.1293 11.7348 Å, 95.00 95.00 120.01°
With the nearest neighbours (Å) after each atom.
Sites, in units of the cell vectors:
Ce (0.3332, 0.6668, 0.0000)  3 Ce 3.54, 3 Nd 3.54, 6 Dy 3.55
Ce (0.6668, 0.3332, 0.0000)  3 Ce 3.54, 3 Nd 3.54, 6 Dy 3.55
Nd (0.0000, 0.0000, 0.0000)  6 Ce 3.54, 6 Dy 3.56
Dy (0.9157, 0.5795, 0.7485)  3 Er 3.51-3.53, 6 Dy 3.52-3.57, 2 Ce 3.55, 1 Nd 3.56
Dy (0.7482, 0.7482, 0.2514)  3 Er 3.52-3.53, 6 Dy 3.52-3.57, 2 Ce 3.55, 1 Nd 3.56
Dy (0.0843, 0.4205, 0.2515)  3 Er 3.51-3.53, 6 Dy 3.52-3.57, 2 Ce 3.55, 1 Nd 3.56
Dy (0.5795, 0.9157, 0.7485)  3 Er 3.51-3.53, 6 Dy 3.52-3.57, 2 Ce 3.55, 1 Nd 3.56
Dy (0.2518, 0.2518, 0.7486)  3 Er 3.52-3.53, 6 Dy 3.52-3.57, 2 Ce 3.55, 1 Nd 3.56
Dy (0.4205, 0.0843, 0.2515)  3 Er 3.51-3.53, 6 Dy 3.52-3.57, 2 Ce 3.55, 1 Nd 3.56
Er (0.1664, 0.8336, 0.5000)  6 Dy 3.51-3.53, 6 Er 3.53-3.54
Er (0.8336, 0.1664, 0.5000)  6 Dy 3.51-3.53, 6 Er 3.53-3.54
Er (0.5000, 0.5000, 0.5000)  6 Dy 3.52-3.53, 6 Er 3.54



No. 4
Below is an optimized crystal structure of Al2TcBr, with properties calculated at the GGA-PBE level.

Results
formation energy (no corrections)	0.74	eV per formula unit
final energy	-4.70	eV/atom
energy above the lowest structure with this stoichiometry	410	meV per atom
symmetry	Amm2 (38)

Cell: 5.1915 5.1915 4.3655 Å, 90.01 90.01 35.34°
With the nearest neighbours (Å) after each atom.
Sites, in units of the cell vectors:
Tc (0.7088, 0.7088, 0.8751)  5 Al 2.52-2.79, 2 Br 2.73
Br (0.5436, 0.5436, 0.3748)  7 Al 2.56-2.86, 2 Tc 2.73
Al (0.9632, 0.9632, 0.8748)  1 Tc 2.52, 4 Br 2.81
Al (0.2844, 0.2844, 0.3752)  3 Br 2.56-2.86, 4 Tc 2.79